Material: Th5Co2Pt2
Method: DFT, PBE
State: optimized geometry

a b c (Å): 15.194 7.363 7.725
angles (deg): 90.00 90.00 90.00
Space group Cmce (No. 64)
Symmetry-distinct sites (fractional):
Th1 0.000 0.000 0.000 x4
Th2 0.131 0.164 0.330 x16
Co1 0.000 0.149 0.622 x8
Pt1 0.209 0.000 0.000 x8

Computed properties:
Energy of formation in meV per atom: -611
Total magnetic moment in μB per formula unit: 0.00
Crystal system: orthorhombic